CrFePt2: relaxed, PBE-GGA.

a b c (Å): 2.747 3.781 5.484
angles (deg): 90.00 90.00 90.00
Atoms (fractional coordinates):
Cr: 0.000 0.000 0.000
Fe: 0.500 0.500 0.243
Pt: 0.000 0.000 0.475
Pt: 0.500 0.500 0.763

Uncorrected energy   -30.9 eV/cell
DFT formation energy   -0.17 eV per atom